(1)
DFT (GGA-PBE) results for an optimized crystal structure of Tb3Dy2HoSe6.

Unit cell a=7.0330 b=12.2681 c=7.0864 alpha=90.00 beta=109.45 gamma=90.00
Closest atoms and distances in Å follow each position.
Space group C2/m (No. 12)
Inequivalent atoms, fractional coordinates:
Tb: 0.0000 0.0000 0.0000  6 Se 2.89-2.90
Tb: 0.0000 0.3323 0.0000  6 Se 2.89-2.90
Dy: 0.0000 0.1668 0.5000  6 Se 2.87-2.88
Ho: 0.0000 0.5000 0.5000  6 Se 2.87
Se: 0.2484 0.3340 0.7472  1 Ho 2.87, 2 Dy 2.87-2.88, 3 Tb 2.89-2.90
Se: 0.2494 0.5000 0.2520  1 Ho 2.87, 2 Dy 2.88, 3 Tb 2.90

Output
As for the density of states at the Fermi level: 5.5 states/eV/f.u. The crystal system is monoclinic. Its formation energy without anion corrections is -2035.8 kJ/mol of formula units. The value obtained for the total magnetization is 0.000 μB/f.u. The total DFT energy (no corrections) comes out at -5.81 eV/atom.


(2)
DFT (GGA-PBE) results for an optimized crystal structure of TbDy2HoSe4.

Unit cell a=7.0687 b=4.0258 c=7.1054 alpha=90.00 beta=108.87 gamma=90.00
Closest atoms and distances in Å follow each position.
Space group P2/m (No. 10)
Inequivalent atoms, fractional coordinates:
Tb: 0.0000 0.0000 0.0000  6 Se 2.89
Dy: 0.5000 0.0000 0.5000  6 Se 2.87-2.88
Dy: 0.5000 0.5000 0.0000  6 Se 2.89
Ho: 0.0000 0.5000 0.5000  6 Se 2.87
Se: 0.2493 0.0000 0.7480  2 Ho 2.87, 3 Dy 2.88-2.89, 1 Tb 2.89
Se: 0.2507 0.5000 0.2520  3 Dy 2.87-2.89, 1 Ho 2.87, 2 Tb 2.89

Output
As for the density of states at the Fermi level: 4.7 states/eV/f.u. The crystal system is monoclinic. Its formation energy without anion corrections is -1347.3 kJ/mol of formula units. The value obtained for the total magnetization is 0.000 μB/f.u. The total DFT energy (no corrections) comes out at -5.79 eV/atom.


The highest formation energy without anion corrections belongs to which entry? TbDy2HoSe4


Look up the formation energy without anion corrections of the first one. -2035.8 kJ/mol of formula units


The highest formation energy without anion corrections belongs to which entry? TbDy2HoSe4


What is the formation energy without anion corrections in the first record? -2035.8 kJ/mol of formula units